This record from Alexandria describes a relaxed structure of SrZnIn2. The functional is PBE.

## Properties
For the size of the total moment, the calculation gives 0.00 μB per formula unit. Its formation energy is -0.176 eV per atom.

abc: 3.798 3.798 7.562
angles: 90.00 90.00 90.00
Element x y z (fractional)
Sr (0.000, 0.000, 0.000)
Zn (0.500, 0.500, 0.280)
In (0.000, 0.000, 0.462)
In (0.500, 0.500, 0.692)

***

This record from Alexandria describes a relaxed structure of TiCdSi2S. The functional is PBE.

## Properties
For the formation energy from raw total energies, the calculation gives 1.2645 eV per atom. For the size of the total moment, the calculation gives 0.00 μB per formula unit.

abc: 4.889 4.889 4.960
angles: 90.00 90.00 90.00
Element x y z (fractional)
Ti (0.000, 0.000, 0.000)
Cd (0.500, 0.500, 0.500)
Si (0.000, 0.500, 0.500)
Si (0.500, 0.000, 0.500)
S (0.500, 0.500, 0.000)

***

This record from Alexandria describes a relaxed structure of KCdIn2Pd. The functional is PBE.

## Properties
For the size of the total moment, the calculation gives 0.00 μB per formula unit. Its formation energy is -0.199 eV per atom.

abc: 5.239 5.239 5.374
angles: 90.00 90.00 90.00
Element x y z (fractional)
K (0.000, 0.000, 0.000)
Cd (0.500, 0.500, 0.000)
In (0.000, 0.500, 0.500)
In (0.500, 0.000, 0.500)
Pd (0.500, 0.500, 0.500)

***

This record from Alexandria describes a relaxed structure of TiCdRh. The functional is PBE.

## Properties
For the size of the total moment, the calculation gives 0.00 μB per formula unit. Its formation energy is -0.405 eV per atom.

abc: 5.236 5.236 5.236
angles: 143.26 143.26 52.94
Element x y z (fractional)
Ti (0.000, 0.000, 0.000)
Cd (0.691, 0.691, 0.000)
Rh (0.379, 0.379, 0.000)

***

This record from Alexandria describes a relaxed structure of HgAuSe. The functional is PBE.

## Properties
For the formation energy from raw total energies, the calculation gives 0.0853 eV per atom. The energy above the lowest structure with this stoichiometry is 0.58 eV per formula unit. For the size of the total moment, the calculation gives 0.00 μB per formula unit.

abc: 4.067 4.067 4.839
angles: 90.00 90.00 120.00
Element x y z (fractional)
Hg (0.000, 0.000, 0.000)
Au (0.667, 0.333, 0.348)
Se (0.333, 0.667, 0.625)

***

This record from Alexandria describes a relaxed structure of Cs3ZnGa. The functional is PBE.

## Properties
The energy above the lowest structure with this stoichiometry is 0.00 eV per formula unit. For the size of the total moment, the calculation gives 0.00 μB per formula unit. Its formation energy is 0.301 eV per atom.

abc: 7.236 7.236 7.236
angles: 90.00 90.00 90.00
Element x y z (fractional)
Cs (0.000, 0.000, 0.500)
Cs (0.000, 0.500, 0.000)
Cs (0.500, 0.000, 0.000)
Zn (0.500, 0.500, 0.500)
Ga (0.000, 0.000, 0.000)

***

This record from Alexandria describes a relaxed structure of Cs2InAu4. The functional is PBE.

## Properties
For the size of the total moment, the calculation gives 0.00 μB per formula unit. Its formation energy is -0.133 eV per atom.

abc: 9.975 9.975 9.975
angles: 148.64 148.64 44.94
Element x y z (fractional)
Cs (0.146, 0.146, 0.000)
Cs (0.854, 0.854, 0.000)
In (0.500, 0.500, 0.000)
Au (0.000, 0.500, 0.500)
Au (0.349, 0.349, 0.000)
Au (0.500, 0.000, 0.500)
Au (0.651, 0.651, 0.000)

***

This record from Alexandria describes a relaxed structure of Cu5Mo. The functional is PBE.

## Properties
The energy above the lowest structure with this stoichiometry is 0.61 eV per formula unit. For the size of the total moment, the calculation gives 0.00 μB per formula unit. Its formation energy is 0.180 eV per atom.

abc: 4.316 7.146 7.146
angles: 20.26 90.00 90.00
Element x y z (fractional)
Cu (0.000, 0.000, 0.000)
Cu (0.000, 0.324, 0.324)
Cu (0.000, 0.661, 0.661)
Cu (0.500, 0.217, 0.217)
Cu (0.500, 0.558, 0.558)
Mo (0.500, 0.888, 0.888)